No. 1
Entry from Alexandria via LeMat-Bulk: a PBEsol-optimized structure of Sr2BiSbO6 (meta-GGA SCAN).

Properties
The density of states at the Fermi level is 0.0 states/eV/f.u. The raw formation energy comes out at -2.110 eV per atom.

Cell lengths 8.4704, 8.4704, 8.4704 Å; angles 90.00, 90.00, 90.00 degrees
With the nearest neighbours (Å) after each atom.
Space group Fm-3m (No. 225)
Inequivalent atoms, fractional coordinates:
Sr (0.2500, 0.2500, 0.2500) [8 per cell]  12 O 3.00
Bi (0.0000, 0.0000, 0.0000) [4 per cell]  6 O 2.25
Sb (0.0000, 0.0000, 0.5000) [4 per cell]  6 O 1.98
O (0.0000, 0.0000, 0.2660) [24 per cell]  1 Sb 1.98

---

No. 2
Entry from Alexandria via LeMat-Bulk: a PBEsol-optimized structure of NaTaTeF2 (meta-GGA SCAN).

Properties
The density of states at the Fermi level is 2.4 states/eV/f.u. The raw formation energy comes out at -1.106 eV per atom.

Cell lengths 4.0661, 4.0661, 6.4517 Å; angles 90.00, 90.00, 90.00 degrees
With the nearest neighbours (Å) after each atom.
Space group P4/mmm (No. 123)
Inequivalent atoms, fractional coordinates:
Na (0.0000, 0.0000, 0.0000) [1 per cell]  4 Te 2.88
Ta (0.0000, 0.0000, 0.5000) [1 per cell]  4 F 2.03
Te (0.5000, 0.5000, 0.0000) [1 per cell]  4 Na 2.88
F (0.0000, 0.5000, 0.5000) [2 per cell]  2 Ta 2.03

---

No. 3
Entry from Alexandria via LeMat-Bulk: a PBEsol-optimized structure of LaZn2Cu (meta-GGA SCAN).

Properties
The formation energy is -112 kJ/mol of formula units. The density of states at the Fermi level is 3.1 states/eV/f.u.

Cell lengths 4.1889, 4.1889, 15.4189 Å; angles 90.00, 90.00, 120.00 degrees
With the nearest neighbours (Å) after each atom.
Space group R-3m (No. 166, hexagonal axes)
Inequivalent atoms, fractional coordinates:
La (0.0000, 0.0000, 0.0000) [3 per cell]  8 Zn 3.13-3.14
Zn (0.0000, 0.0000, 0.2030) [6 per cell]  3 Cu 2.48, 3 Zn 2.67
Cu (0.0000, 0.0000, 0.5000) [3 per cell]  6 Zn 2.48

---

No. 4
Entry from Alexandria via LeMat-Bulk: a PBEsol-optimized structure of Cs2LiTbCl6 (meta-GGA SCAN).

Properties
The density of states at the Fermi level is 0.0 states/eV/f.u. The raw formation energy comes out at -2.391 eV per atom.

Cell lengths 10.3776, 10.3776, 10.3776 Å; angles 90.00, 90.00, 90.00 degrees
With the nearest neighbours (Å) after each atom.
Space group Fm-3m (No. 225)
Inequivalent atoms, fractional coordinates:
Cs (0.2500, 0.2500, 0.2500) [8 per cell]  12 Cl 3.67
Li (0.0000, 0.0000, 0.0000) [4 per cell]  6 Cl 2.57
Tb (0.0000, 0.0000, 0.5000) [4 per cell]  6 Cl 2.62
Cl (0.0000, 0.0000, 0.2475) [24 per cell]  1 Li 2.57, 1 Tb 2.62

---

No. 5
Entry from Alexandria via LeMat-Bulk: a PBEsol-optimized structure of LaNb2Co2 (meta-GGA SCAN).

Properties
The formation energy is 14 kJ/mol of formula units. The density of states at the Fermi level is 2.8 states/eV/f.u.

Cell lengths 4.3086, 4.3086, 9.8337 Å; angles 90.00, 90.00, 90.00 degrees
With the nearest neighbours (Å) after each atom.
Space group I4/mmm (No. 139)
Inequivalent atoms, fractional coordinates:
La (0.0000, 0.0000, 0.0000) [2 per cell]  8 Nb 3.27, 10 Co 3.30-3.66
Nb (0.0000, 0.5000, 0.2500) [4 per cell]  4 Co 2.46
Co (0.0000, 0.0000, 0.3718) [4 per cell]  4 Nb 2.46, 1 Co 2.52

---

No. 6
Entry from Alexandria via LeMat-Bulk: a PBEsol-optimized structure of KIF2 (meta-GGA SCAN).

Properties
The density of states at the Fermi level is 1.2 states/eV/f.u. The raw formation energy comes out at -1.029 eV per atom. For the offset from the most stable computed form, the calculation gives 928.0 meV/atom.

Cell lengths 3.4899, 3.4899, 25.7906 Å; angles 90.00, 90.00, 120.00 degrees
With the nearest neighbours (Å) after each atom.
Space group R-3m (No. 166, hexagonal axes)
Inequivalent atoms, fractional coordinates:
K (0.0000, 0.0000, 0.0000) [3 per cell]  2 F 2.28
I (0.0000, 0.0000, 0.5000) [3 per cell]  6 F 2.85
F (0.0000, 0.0000, 0.0885) [6 per cell]  1 K 2.28

---

No. 7
Entry from Alexandria via LeMat-Bulk: a PBEsol-optimized structure of PtPb2Br (meta-GGA SCAN).

Properties
The density of states at the Fermi level is 1.2 states/eV/f.u. The raw formation energy comes out at -0.074 eV per atom. For the offset from the most stable computed form, the calculation gives 330.0 meV/atom.

Cell lengths 6.4011, 3.6998, 8.9439 Å; angles 90.00, 105.06, 90.00 degrees
With the nearest neighbours (Å) after each atom.
Space group Cm (No. 8)
Inequivalent atoms, fractional coordinates:
Pt (0.0000, 0.0000, 0.0000) [2 per cell]  3 Pb 2.69-2.70, 3 Br 2.78-2.79
Pb (0.0079, 0.5000, 0.4844) [2 per cell]  3 Br 3.21, 2 Pb 3.48
Pb (0.2651, 0.0000, 0.8099) [2 per cell]  3 Pt 2.69-2.70
Br (0.2415, 0.5000, 0.2071) [2 per cell]  3 Pt 2.78-2.79

---

No. 8
Entry from Alexandria via LeMat-Bulk: a PBEsol-optimized structure of BaY2Sc (meta-GGA SCAN).

Properties
The formation energy is 107 kJ/mol of formula units. The density of states at the Fermi level is 4.3 states/eV/f.u. For the offset from the most stable computed form, the calculation gives 69.5 meV/atom.

Cell lengths 3.7976, 5.8881, 11.8040 Å; angles 90.00, 90.00, 90.00 degrees
With the nearest neighbours (Å) after each atom.
Space group Immm (No. 71)
Inequivalent atoms, fractional coordinates:
Ba (0.0000, 0.0000, 0.0000) [2 per cell]  4 Sc 3.50, 4 Y 3.77, 2 Ba 3.80
Y (0.0000, 0.5000, 0.2245) [4 per cell]  2 Sc 3.26, 4 Y 3.55
Sc (0.0000, 0.0000, 0.5000) [2 per cell]  4 Y 3.26, 4 Ba 3.50

---

No. 9
Entry from Alexandria via LeMat-Bulk: a PBEsol-optimized structure of Sc2In (meta-GGA SCAN).

Properties
The formation energy is -151 kJ/mol of formula units. The density of states at the Fermi level is 2.7 states/eV/f.u.

Cell lengths 4.9772, 4.9772, 6.1943 Å; angles 90.00, 90.00, 120.00 degrees
With the nearest neighbours (Å) after each atom.
Space group P6_3/mmc (No. 194)
Inequivalent atoms, fractional coordinates:
Sc (0.0000, 0.0000, 0.0000) [2 per cell]  8 Sc 3.10-3.26, 6 In 3.26
Sc (0.3333, 0.6667, 0.2500) [2 per cell]  5 In 2.87-3.10
In (0.3333, 0.6667, 0.7500) [2 per cell]  5 Sc 2.87-3.10

---

No. 10
Entry from Alexandria via LeMat-Bulk: a PBEsol-optimized structure of CaY2Sb (meta-GGA SCAN).

Properties
The density of states at the Fermi level is 1.8 states/eV/f.u. The raw formation energy comes out at -0.534 eV per atom. For the offset from the most stable computed form, the calculation gives 0.0 meV/atom.

Cell lengths 4.0679, 4.0679, 6.9800 Å; angles 90.00, 90.00, 90.00 degrees
With the nearest neighbours (Å) after each atom.
Space group P4mm (No. 99)
Inequivalent atoms, fractional coordinates:
Ca (0.0000, 0.0000, 0.0000) [1 per cell]  1 Y 3.13, 4 Sb 3.33
Y (0.0000, 0.0000, 0.4490) [1 per cell]  1 Ca 3.13, 4 Sb 3.22, 4 Y 3.40
Y (0.5000, 0.5000, 0.7084) [1 per cell]  1 Sb 3.27, 4 Y 3.40, 4 Ca 3.52
Sb (0.5000, 0.5000, 0.2405) [1 per cell]  5 Y 3.22-3.27, 4 Ca 3.33

---

No. 11
Entry from Alexandria via LeMat-Bulk: a PBEsol-optimized structure of Ti4O3 (meta-GGA SCAN).

Properties
The density of states at the Fermi level is 3.5 states/eV/f.u. The raw formation energy comes out at -2.340 eV per atom.

Cell lengths 4.2200, 4.2200, 8.2166 Å; angles 90.00, 90.00, 90.00 degrees
With the nearest neighbours (Å) after each atom.
Space group I4/mmm (No. 139)
Inequivalent atoms, fractional coordinates:
Ti (0.0000, 0.0000, 0.2390) [4 per cell]  5 O 2.11-2.14
Ti (0.0000, 0.5000, 0.0000) [4 per cell]  4 O 2.05-2.11
O (0.0000, 0.0000, 0.5000) [2 per cell]  6 Ti 2.11-2.14
O (0.0000, 0.5000, 0.2500) [4 per cell]  6 Ti 2.05-2.11

---

No. 12
Entry from Alexandria via LeMat-Bulk: a PBEsol-optimized structure of BaHg3Pt (meta-GGA SCAN).

Properties
The formation energy is -233 kJ/mol of formula units. The density of states at the Fermi level is 1.8 states/eV/f.u. For the offset from the most stable computed form, the calculation gives 0.0 meV/atom.

Cell lengths 5.2235, 5.2235, 5.2235 Å; angles 90.00, 90.00, 90.00 degrees
With the nearest neighbours (Å) after each atom.
Space group Pm-3m (No. 221)
Inequivalent atoms, fractional coordinates:
Ba (0.0000, 0.0000, 0.0000) [1 per cell]  12 Hg 3.69
Hg (0.0000, 0.5000, 0.5000) [3 per cell]  2 Pt 2.61
Pt (0.5000, 0.5000, 0.5000) [1 per cell]  6 Hg 2.61

---

Number 1: E_tot -0.8044 hartree per atom. Number 2: E_tot -0.8868 hartree per atom. Number 3: E_tot -0.7947 hartree per atom. Number 4: E_tot -0.7223 hartree per atom. Number 5: E_tot -1.0571 hartree per atom. Number 6: E_tot -0.5169 hartree per atom. Number 7: E_tot -2.2189 hartree per atom. Number 8: E_tot -0.9955 hartree per atom. Number 9: E_tot -0.7769 hartree per atom. Number 10: E_tot -0.9623 hartree per atom. Number 11: E_tot -0.5208 hartree per atom. Number 12: E_tot -2.3273 hartree per atom.